[1]
Here is a relaxed structure of Tb2YTe3 from Alexandria via LeMat-Bulk. Energies are from PBE.

Cell and atoms, written as CIF:
```
data_Tb2YTe3
_chemical_formula_sum 'Tb4 Y2 Te6'
_symmetry_space_group_name_H-M 'I m m m'
_symmetry_Int_Tables_number 71
_symmetry_space_group_name_Hall '-I 2 2'
_cell_length_a 4.396
_cell_length_b 6.163
_cell_length_c 13.073
_cell_angle_alpha 90.00
_cell_angle_beta 90.00
_cell_angle_gamma 90.00
loop_
_atom_site_label
_atom_site_type_symbol
_atom_site_fract_x
_atom_site_fract_y
_atom_site_fract_z
_atom_site_occupancy
Tb1 Tb 0.000 0.000 0.167 1
Y1 Y 0.000 0.000 0.500 1
Te1 Te 0.000 0.500 0.166 1
Te2 Te 0.000 0.500 0.500 1
```

Computed properties:
Its density of states at the Fermi level is 3.0 states/eV/f.u. The density is 7.4 g/cm³. The total energy is -66.006 eV/cell.

[2]
Here is a relaxed structure of Sr2InBi3Rh4 from Alexandria via LeMat-Bulk. Energies are from PBE.

Cell and atoms, written as CIF:
```
data_Sr2InBi3Rh4
_chemical_formula_sum 'Sr2 In1 Bi3 Rh4'
_symmetry_space_group_name_H-M 'P -4 m 2'
_symmetry_Int_Tables_number 115
_symmetry_space_group_name_Hall 'P -4 -2'
_cell_length_a 4.624
_cell_length_b 4.624
_cell_length_c 11.239
_cell_angle_alpha 90.00
_cell_angle_beta 90.00
_cell_angle_gamma 90.00
loop_
_atom_site_label
_atom_site_type_symbol
_atom_site_fract_x
_atom_site_fract_y
_atom_site_fract_z
_atom_site_occupancy
Sr1 Sr 0.000 0.500 0.248 1
In1 In 0.000 0.000 0.500 1
Bi1 Bi 0.000 0.500 0.870 1
Bi2 Bi 0.500 0.500 0.500 1
Rh1 Rh 0.000 0.000 0.000 1
Rh2 Rh 0.000 0.500 0.631 1
Rh3 Rh 0.500 0.500 0.000 1
```

Computed properties:
Its density of states at the Fermi level is 8.1 states/eV/f.u. The density is 9.2 g/cm³. The formation energy is -0.439 eV/atom.